K2Cr2Cl7 | PBE | optimized geometry

```
data_K2Cr2Cl7
_chemical_formula_sum 'K4 Cr4 Cl14'
_space_group_name_H-M_alt 'C 1 2/m 1'
_space_group_IT_number 12
_space_group_name_Hall '-C 2y'
_cell_length_a 7.7699
_cell_length_b 14.6870
_cell_length_c 6.3587
_cell_angle_alpha 90.00
_cell_angle_beta 104.05
_cell_angle_gamma 90.00
loop_
_atom_site_label
_atom_site_type_symbol
_atom_site_fract_x
_atom_site_fract_y
_atom_site_fract_z
K1 K 0.0000 0.1945 0.0000
Cr1 Cr 0.2317 0.0000 0.6268
Cl1 Cl 0.0000 0.5000 0.5000
Cl2 Cl 0.0464 0.0000 0.2638
Cl3 Cl 0.2324 0.3475 0.2830
```

Properties
The formation energy (no corrections) is -1293.6 meV/atom. The calculation puts the energy at -0.1624 hartree per atom.

K2CrCl5 | PBE | optimized geometry

```
data_K2CrCl5
_chemical_formula_sum 'K4 Cr2 Cl10'
_space_group_name_H-M_alt 'I 4 m m'
_space_group_IT_number 107
_space_group_name_Hall 'I 4 -2'
_cell_length_a 7.3431
_cell_length_b 7.3431
_cell_length_c 8.9051
_cell_angle_alpha 90.00
_cell_angle_beta 90.00
_cell_angle_gamma 90.00
loop_
_atom_site_label
_atom_site_type_symbol
_atom_site_fract_x
_atom_site_fract_y
_atom_site_fract_z
K1 K 0.0000 0.5000 0.0000
Cr1 Cr 0.0000 0.0000 0.2198
Cl1 Cl 0.0000 0.0000 0.9722
Cl2 Cl 0.2218 0.2218 0.2557
```

Properties
The formation energy (no corrections) is -1511.1 meV/atom. The calculation puts the energy at -0.1522 hartree per atom.

KCrCl3 | PBE | optimized geometry

```
data_KCrCl3
_chemical_formula_sum 'K8 Cr8 Cl24'
_space_group_name_H-M_alt 'C m c m'
_space_group_IT_number 63
_space_group_name_Hall '-C 2c 2'
_cell_length_a 9.8368
_cell_length_b 9.8974
_cell_length_c 10.0154
_cell_angle_alpha 90.00
_cell_angle_beta 90.00
_cell_angle_gamma 90.00
loop_
_atom_site_label
_atom_site_type_symbol
_atom_site_fract_x
_atom_site_fract_y
_atom_site_fract_z
K1 K 0.0000 0.0102 0.2500
K2 K 0.0000 0.4868 0.7500
Cr1 Cr 0.2500 0.2500 0.0000
Cl1 Cl 0.0000 0.2202 0.5225
Cl2 Cl 0.2199 0.5000 0.0000
Cl3 Cl 0.2279 0.2494 0.2500
```

Properties
The formation energy (no corrections) is -1373.6 meV/atom. The calculation puts the energy at -0.1700 hartree per atom.

KCrCl | PBE | optimized geometry

```
data_KCrCl
_chemical_formula_sum 'K4 Cr4 Cl4'
_space_group_name_H-M_alt 'F -4 3 m'
_space_group_IT_number 216
_space_group_name_Hall 'F -4 2 3'
_cell_length_a 7.4889
_cell_length_b 7.4889
_cell_length_c 7.4889
_cell_angle_alpha 90.00
_cell_angle_beta 90.00
_cell_angle_gamma 90.00
loop_
_atom_site_label
_atom_site_type_symbol
_atom_site_fract_x
_atom_site_fract_y
_atom_site_fract_z
K1 K 0.0000 0.0000 0.0000
Cr1 Cr 0.2500 0.2500 0.7500
Cl1 Cl 0.0000 0.0000 0.5000
```

Properties
The formation energy (no corrections) is 189.8 meV/atom. The calculation puts the energy at -0.1470 hartree per atom.

Which value of formation energy (no corrections) does entry 1 give?
-1293.6 meV/atom

The highest energy belongs to which entry?
KCrCl